Entry 1:
This record from Alexandria via LeMat-Bulk describes a PBEsol-optimized structure of La2ZnCd. The functional is SCAN.

Computed properties:
E above lowest polymorph in kJ/mol of atoms: 27.6

Lattice parameters (Å, degrees): 3.6239 5.3139 6.3652 101.10 90.00 109.94
With the nearest neighbours (Å) after each atom.
Element x y z (fractional)
Cd (0.5000, 0.0000, 0.0000)  6 La 3.26-3.30, 2 Cd 3.62
Zn (0.0000, 0.0000, 0.5000)  6 La 3.16-3.19
La (0.2550, 0.5100, 0.2683)  3 Zn 3.16-3.19, 3 Cd 3.26-3.30, 2 La 3.48
La (0.7450, 0.4900, 0.7317)  3 Zn 3.16-3.19, 3 Cd 3.26-3.30, 2 La 3.48

Entry 2:
This record from Alexandria via LeMat-Bulk describes a PBEsol-optimized structure of La2ZrCd. The functional is SCAN.

Lattice parameters (Å, degrees): 3.3642 3.3642 9.6851 90.00 90.00 90.00
With the nearest neighbours (Å) after each atom.
Element x y z (fractional)
La (0.0000, 0.0000, 0.2517)  4 La 3.36, 4 Cd 3.38, 4 Zr 3.41
La (0.0000, 0.0000, 0.7483)  4 La 3.36, 4 Cd 3.38, 4 Zr 3.41
Cd (0.5000, 0.5000, 0.5000)  4 Cd 3.36, 8 La 3.38
Zr (0.5000, 0.5000, 0.0000)  4 Zr 3.36, 8 La 3.41

Entry 3:
This record from Alexandria via LeMat-Bulk describes a PBEsol-optimized structure of LaZr2Cd. The functional is SCAN.

Lattice parameters (Å, degrees): 5.1346 5.1346 5.1346 60.00 60.00 60.00
With the nearest neighbours (Å) after each atom.
Element x y z (fractional)
La (0.2500, 0.2500, 0.2500)  4 Zr 3.14, 4 Cd 3.14
Zr (0.0000, 0.0000, 0.0000)  4 Zr 3.14, 4 La 3.14
Zr (0.7500, 0.7500, 0.7500)  4 Zr 3.14, 4 Cd 3.14
Cd (0.5000, 0.5000, 0.5000)  4 La 3.14, 4 Zr 3.14

| no. | DFT formation energy (eV per atom) |
| --- | --- |
| 1 | -0.121 |
| 2 | -0.063 |
| 3 | 0.065 |